Compound: Tb3Pm4Y5
Source: the Alexandria database
Functional: PBE
Structure: optimized geometry

Calculated values
Energy relative to the lowest polymorph listed for this composition in meV/atom: 0
Total DFT energy (no corrections) in eV per cell: -65.03

Geometry as POSCAR:
```
Tb3Pm4Y5
1.0
-5.709 3.579 2.502
3.067 -10.805 1.770
0.227 12.553 3.217
Pm Y Tb
4 5 3
Direct
0.834 0.666 0.833 Pm
0.166 0.334 0.167 Pm
0.082 0.166 0.334 Pm
0.918 0.834 0.666 Pm
0.751 0.499 0.999 Y
0.500 0.000 0.500 Y
0.332 0.665 0.833 Y
0.668 0.335 0.167 Y
0.249 0.501 0.001 Y
0.419 0.836 0.667 Tb
0.000 0.000 0.500 Tb
0.581 0.164 0.333 Tb
```

Compound: LiLuNiHg
Source: the Alexandria database
Functional: PBE
Structure: optimized geometry

Calculated values
Total DFT energy (no corrections) in eV per cell: -13.55

Geometry as POSCAR:
```
LiLuNiHg
1.0
-4.350 1.409 0.620
-3.348 -1.563 -2.765
-3.164 -2.933 1.637
Ni Lu Hg Li
1 1 1 1
Direct
0.250 0.250 0.250 Ni
0.000 0.000 0.000 Lu
0.500 0.500 0.500 Hg
0.750 0.750 0.750 Li
```

Compound: TaIn3Sb
Source: the Alexandria database
Functional: PBE
Structure: optimized geometry

Calculated values
Energy relative to the elements, uncorrected in kJ/mol of formula units: 397
Energy relative to the lowest polymorph listed for this composition in meV/atom: 0
Total DFT energy (no corrections) in eV per cell: -20.08

Geometry as POSCAR:
```
TaIn3Sb
1.0
-0.011 5.043 -2.038
-5.437 0.051 0.156
0.164 2.038 5.041
In Sb Ta
3 1 1
Direct
0.000 0.000 0.500 In
0.000 0.500 0.000 In
0.500 0.000 0.000 In
0.500 0.500 0.500 Sb
0.000 0.000 0.000 Ta
```

Compound: Sr2Ge2Pd
Source: the Alexandria database
Functional: PBE
Structure: optimized geometry

Calculated values
Total DFT energy (no corrections) in eV per cell: -19.33

Geometry as POSCAR:
```
Sr2Ge2Pd
1.0
-4.317 4.509 -0.144
-0.189 -0.379 -6.229
-4.895 -0.457 -2.953
Sr Pd Ge
2 1 2
Direct
0.250 0.750 0.500 Sr
0.750 0.250 0.500 Sr
0.000 0.000 0.000 Pd
0.664 0.664 0.671 Ge
0.336 0.336 0.329 Ge
```

Compound: Ag6AuBr12
Source: the Alexandria database
Functional: PBE
Structure: optimized geometry

Calculated values
Energy relative to the elements, uncorrected in kJ/mol of formula units: -378
Total DFT energy (no corrections) in eV per cell: -44.37

Geometry as POSCAR:
```
Ag6AuBr12
1.0
-6.705 1.235 -4.927
4.275 -2.186 -6.907
-2.382 -8.039 0.683
Br Ag Au
12 6 1
Direct
0.002 0.315 0.991 Br
0.184 0.556 0.402 Br
0.009 0.998 0.685 Br
0.685 0.009 0.998 Br
0.998 0.685 0.009 Br
0.598 0.816 0.444 Br
0.402 0.184 0.556 Br
0.991 0.002 0.315 Br
0.816 0.444 0.598 Br
0.556 0.402 0.184 Br
0.444 0.598 0.816 Br
0.315 0.991 0.002 Br
0.706 0.416 0.899 Ag
0.584 0.101 0.294 Ag
0.899 0.706 0.416 Ag
0.294 0.584 0.101 Ag
0.416 0.899 0.706 Ag
0.101 0.294 0.584 Ag
0.000 0.000 0.000 Au
```

Compound: KMgSb
Source: the Alexandria database
Functional: PBE
Structure: optimized geometry

Calculated values
Energy relative to the elements, uncorrected in kJ/mol of formula units: -89
Total DFT energy (no corrections) in eV per cell: -15.48

Geometry as POSCAR:
```
KMgSb
1.0
20.756 0.000 -0.017
8.759 1.749 -2.561
-8.759 1.749 2.561
Sb K Mg
2 2 2
Direct
0.357 0.019 0.981 Sb
0.643 0.981 0.019 Sb
0.196 0.869 0.131 K
0.804 0.131 0.869 K
0.757 0.486 0.514 Mg
0.243 0.514 0.486 Mg
```

Compound: AcHoZnCd
Source: the Alexandria database
Functional: PBE
Structure: optimized geometry

Calculated values
Total DFT energy (no corrections) in eV per cell: -11.77

Geometry as POSCAR:
```
AcHoZnCd
1.0
5.434 0.000 0.000
2.717 4.706 0.000
2.717 1.569 4.437
Ac Ho Zn Cd
1 1 1 1
Direct
0.500 0.500 0.500 Ac
0.000 0.000 0.000 Ho
0.250 0.250 0.250 Zn
0.750 0.750 0.750 Cd
```

Compound: YFePb3
Source: the Alexandria database
Functional: PBE
Structure: optimized geometry

Calculated values
Energy relative to the lowest polymorph listed for this composition in meV/atom: 813
Total DFT energy (no corrections) in eV per cell: -20.54

Geometry as POSCAR:
```
YFePb3
1.0
5.855 0.000 0.000
0.000 5.855 0.000
0.000 0.000 5.855
Pb Y Fe
3 1 1
Direct
0.000 0.000 0.500 Pb
0.000 0.500 0.000 Pb
0.500 0.000 0.000 Pb
0.000 0.000 0.000 Y
0.500 0.500 0.500 Fe
```

Compound: SrBeW2
Source: the Alexandria database
Functional: PBE
Structure: optimized geometry

Calculated values
Total DFT energy (no corrections) in eV per cell: -28.37

Geometry as POSCAR:
```
SrBeW2
1.0
-2.273 2.039 -3.269
-0.352 -0.144 -4.457
-5.001 -4.110 -0.530
Sr W Be
1 2 1
Direct
0.231 0.231 0.262 Sr
0.761 0.761 0.734 W
0.024 0.024 0.891 W
0.484 0.484 0.613 Be
```

Compound: LiHoEr
Source: the Alexandria database
Functional: PBE
Structure: optimized geometry

Calculated values
Energy relative to the lowest polymorph listed for this composition in meV/atom: 19
Total DFT energy (no corrections) in eV per cell: -10.71

Geometry as POSCAR:
```
LiHoEr
1.0
3.437 0.000 0.000
-1.718 2.976 0.000
0.000 0.000 8.281
Er Li Ho
1 1 1
Direct
0.667 0.333 0.331 Er
0.000 0.000 0.001 Li
0.333 0.667 0.668 Ho
```

Compound: AlIrW2
Source: the Alexandria database
Functional: PBE
Structure: optimized geometry

Calculated values
Total DFT energy (no corrections) in eV per cell: -39.07

Geometry as POSCAR:
```
AlIrW2
1.0
-0.116 1.341 -2.882
1.003 -2.721 -1.307
-5.761 -1.826 -0.619
Ir W Al
1 2 1
Direct
0.500 0.500 0.734 Ir
0.000 0.000 0.017 W
0.500 0.500 0.246 W
0.000 0.000 0.504 Al
```

Compound: MnAlCl2
Source: the Alexandria database
Functional: PBE
Structure: optimized geometry

Calculated values
Energy relative to the elements, uncorrected in kJ/mol of formula units: -182
Energy relative to the lowest polymorph listed for this composition in meV/atom: 162
Total DFT energy (no corrections) in eV per cell: -18.49

Geometry as POSCAR:
```
MnAlCl2
1.0
3.426 -0.032 0.000
-1.807 2.911 0.000
0.000 0.000 9.138
Mn Al Cl
1 1 2
Direct
0.000 0.000 0.513 Mn
0.500 0.500 0.734 Al
0.500 0.500 0.329 Cl
0.000 0.000 0.924 Cl
```

Copy entry 9 word for word.
Compound: SrBeW2
Source: the Alexandria database
Functional: PBE
Structure: optimized geometry

Calculated values
Total DFT energy (no corrections) in eV per cell: -28.37

Geometry as POSCAR:
```
SrBeW2
1.0
-2.273 2.039 -3.269
-0.352 -0.144 -4.457
-5.001 -4.110 -0.530
Sr W Be
1 2 1
Direct
0.231 0.231 0.262 Sr
0.761 0.761 0.734 W
0.024 0.024 0.891 W
0.484 0.484 0.613 Be
```